## one
This record from Alexandria via LeMat-Bulk describes a relaxed LaPmGaNi crystal. The functional is PBE.

Cell lengths 7.275, 7.275, 7.275 Å; angles 90.00, 90.00, 90.00 degrees
Space group F-43m (No. 216)
Asymmetric unit:
La 0.000 0.000 0.000 x4
Pm 0.000 0.000 0.500 x4
Ga 0.250 0.250 0.250 x4
Ni 0.250 0.250 0.750 x4

Output
The value obtained for the size of the total moment is 0.003 μB per cell.

=====

## two
This record from Alexandria via LeMat-Bulk describes a relaxed LaPmGaNi crystal. The functional is PBE.

Cell lengths 4.409, 3.859, 11.652 Å; angles 90.00, 90.00, 90.00 degrees
Space group Amm2 (No. 38)
Asymmetric unit:
La 0.000 0.000 0.000 x2
Pm 0.500 0.000 0.276 x2
Ga 0.000 0.000 0.710 x2
Ni 0.500 0.000 0.587 x2

Output
The value obtained for the size of the total moment is 0.000 μB per cell.

=====

Order from most stable to least stable according to the calculation: two, one

=====

## one
This record from Alexandria via LeMat-Bulk describes a relaxed LaPrGaNi crystal. The functional is PBE.

Cell lengths 4.410, 3.901, 11.733 Å; angles 90.00, 90.00, 90.00 degrees
Space group Amm2 (No. 38)
Asymmetric unit:
La 0.000 0.000 0.000 x2
Pr 0.500 0.000 0.279 x2
Ga 0.000 0.000 0.707 x2
Ni 0.500 0.000 0.584 x2

Output
The value obtained for the size of the total moment is 0.000 μB per cell.

=====

## two
This record from Alexandria via LeMat-Bulk describes a relaxed LaPrGaNi crystal. The functional is PBE.

Cell lengths 7.330, 7.330, 7.330 Å; angles 90.00, 90.00, 90.00 degrees
Space group F-43m (No. 216)
Asymmetric unit:
La 0.000 0.000 0.000 x4
Pr 0.000 0.000 0.500 x4
Ga 0.250 0.250 0.750 x4
Ni 0.250 0.250 0.250 x4

Output
The value obtained for the size of the total moment is 0.009 μB per cell.

=====

Order from most stable to least stable according to the calculation: one, two

=====

## one
This record from Alexandria via LeMat-Bulk describes a relaxed LaTlGa2Ni crystal. The functional is PBE.

Cell lengths 4.720, 4.720, 5.021 Å; angles 90.00, 90.00, 90.00 degrees
Space group P4/mmm (No. 123)
Asymmetric unit:
La 0.000 0.000 0.000 x1
Tl 0.500 0.500 0.000 x1
Ga 0.000 0.500 0.500 x2
Ni 0.500 0.500 0.500 x1

Output
The value obtained for the size of the total moment is 0.000 μB per cell.

=====

## two
This record from Alexandria via LeMat-Bulk describes a relaxed LaTlGa2Ni crystal. The functional is PBE.

Cell lengths 4.757, 4.757, 5.153 Å; angles 90.00, 90.00, 90.00 degrees
Space group P4/mmm (No. 123)
Asymmetric unit:
La 0.000 0.000 0.000 x1
Tl 0.500 0.500 0.000 x1
Ga 0.000 0.500 0.500 x2
Ni 0.000 0.000 0.500 x1

Output
The value obtained for the size of the total moment is 0.000 μB per cell.

=====

Order from most stable to least stable according to the calculation: two, one

=====

## one
This record from Alexandria via LeMat-Bulk describes a relaxed LaZnGa2Ni crystal. The functional is PBE.

Cell lengths 4.615, 4.615, 4.661 Å; angles 90.00, 90.00, 90.00 degrees
Space group P4/mmm (No. 123)
Asymmetric unit:
La 0.000 0.000 0.000 x1
Zn 0.500 0.500 0.000 x1
Ga 0.000 0.500 0.500 x2
Ni 0.500 0.500 0.500 x1

Output
The value obtained for the size of the total moment is 0.000 μB per cell.

=====

## two
This record from Alexandria via LeMat-Bulk describes a relaxed LaZnGa2Ni crystal. The functional is PBE.

Cell lengths 11.188, 4.296, 4.280 Å; angles 90.00, 112.35, 90.00 degrees
Space group Cm (No. 8)
Asymmetric unit:
La 0.000 0.000 0.000 x2
Zn 0.255 0.500 0.254 x2
Ga 0.103 0.500 0.603 x2
Ga 0.258 0.000 0.758 x2
Ni 0.374 0.000 0.373 x2

Output
The value obtained for the size of the total moment is 0.000 μB per cell.

=====

Order from most stable to least stable according to the calculation: two, one

=====

## one
This record from Alexandria via LeMat-Bulk describes a relaxed LaGaSe2O crystal. The functional is PBE.

Cell lengths 6.084, 6.084, 4.261 Å; angles 90.00, 90.00, 90.00 degrees
Space group P4/mmm (No. 123)
Asymmetric unit:
La 0.000 0.000 0.000 x1
Ga 0.500 0.500 0.500 x1
Se 0.000 0.500 0.000 x2
O 0.000 0.000 0.500 x1

Output
The value obtained for the size of the total moment is 1.584 μB per cell.

=====

## two
This record from Alexandria via LeMat-Bulk describes a relaxed LaGaSe2O crystal. The functional is PBE.

Cell lengths 6.007, 12.462, 5.991 Å; angles 90.00, 90.00, 90.00 degrees
Space group Pca2_1 (No. 29)
Asymmetric unit:
La 0.003 0.094 0.000 x4
Ga 0.078 0.397 0.410 x4
Se 0.006 0.781 0.001 x4
Se 0.023 0.415 0.002 x4
O 0.249 0.999 0.247 x4

Output
The value obtained for the size of the total moment is 0.000 μB per cell.

=====

Order from most stable to least stable according to the calculation: two, one

=====

## one
This record from Alexandria via LeMat-Bulk describes a relaxed LaGa3Os crystal. The functional is PBE.

Cell lengths 4.840, 4.840, 4.840 Å; angles 90.00, 90.00, 90.00 degrees
Space group Pm-3m (No. 221)
Asymmetric unit:
La 0.000 0.000 0.000 x1
Ga 0.000 0.500 0.500 x3
Os 0.500 0.500 0.500 x1

Output
The value obtained for the size of the total moment is 0.000 μB per cell.

=====

## two
This record from Alexandria via LeMat-Bulk describes a relaxed LaGa3Os crystal. The functional is PBE.

Cell lengths 5.392, 5.392, 5.392 Å; angles 90.00, 90.00, 90.00 degrees
Space group Pm-3m (No. 221)
Asymmetric unit:
La 0.000 0.000 0.000 x1
Ga 0.000 0.000 0.500 x3
Os 0.500 0.500 0.500 x1

Output
The value obtained for the size of the total moment is 0.001 μB per cell.

=====

Order from most stable to least stable according to the calculation: one, two

=====

## one
This record from Alexandria via LeMat-Bulk describes a relaxed La6GaOs2 crystal. The functional is PBE.

Cell lengths 12.500, 5.662, 9.741 Å; angles 90.00, 129.28, 90.00 degrees
Space group C2/m (No. 12)
Asymmetric unit:
La 0.007 0.000 0.164 x4
La 0.121 0.500 0.472 x4
La 0.213 0.500 0.120 x4
Ga 0.000 0.000 0.500 x2
Os 0.220 0.500 0.808 x4

Output
The value obtained for the size of the total moment is 0.000 μB per cell.

=====

## two
This record from Alexandria via LeMat-Bulk describes a relaxed La6GaOs2 crystal. The functional is PBE.

Cell lengths 16.176, 10.505, 6.472 Å; angles 90.00, 104.25, 90.00 degrees
Space group C2/c (No. 15)
Asymmetric unit:
La 0.105 0.071 0.161 x8
La 0.106 0.430 0.163 x8
La 0.193 0.250 0.717 x8
Ga 0.000 0.252 0.750 x4
Os 0.250 0.004 0.999 x8

Output
The value obtained for the size of the total moment is 0.000 μB per cell.

=====

Order from most stable to least stable according to the calculation: two, one

=====

## one
This record from Alexandria via LeMat-Bulk describes a relaxed LaGaOs3 crystal. The functional is PBE.

Cell lengths 4.955, 4.955, 4.955 Å; angles 90.00, 90.00, 90.00 degrees
Space group Pm-3m (No. 221)
Asymmetric unit:
La 0.000 0.000 0.000 x1
Ga 0.500 0.500 0.500 x1
Os 0.000 0.000 0.500 x3

Output
The value obtained for the size of the total moment is 3.944 μB per cell.

=====

## two
This record from Alexandria via LeMat-Bulk describes a relaxed LaGaOs3 crystal. The functional is PBE.

Cell lengths 4.642, 4.642, 4.642 Å; angles 90.00, 90.00, 90.00 degrees
Space group Pm-3m (No. 221)
Asymmetric unit:
La 0.000 0.000 0.000 x1
Ga 0.500 0.500 0.500 x1
Os 0.000 0.500 0.500 x3

Output
The value obtained for the size of the total moment is 0.019 μB per cell.

=====

Order from most stable to least stable according to the calculation: two, one

=====

## one
This record from Alexandria via LeMat-Bulk describes a relaxed La2TlGaOs crystal. The functional is PBE.

Cell lengths 5.633, 5.633, 4.823 Å; angles 90.00, 90.00, 90.00 degrees
Space group P4/mmm (No. 123)
Asymmetric unit:
La 0.000 0.500 0.000 x2
Tl 0.000 0.000 0.500 x1
Ga 0.000 0.000 0.000 x1
Os 0.500 0.500 0.500 x1

Output
The value obtained for the size of the total moment is 0.000 μB per cell.

=====

## two
This record from Alexandria via LeMat-Bulk describes a relaxed La2TlGaOs crystal. The functional is PBE.

Cell lengths 5.536, 5.536, 4.916 Å; angles 90.00, 90.00, 90.00 degrees
Space group P4/mmm (No. 123)
Asymmetric unit:
La 0.000 0.500 0.000 x2
Tl 0.000 0.000 0.500 x1
Ga 0.500 0.500 0.500 x1
Os 0.500 0.500 0.000 x1

Output
The value obtained for the size of the total moment is 0.000 μB per cell.

=====

Order from most stable to least stable according to the calculation: two, one

=====

## one
This record from Alexandria via LeMat-Bulk describes a relaxed La2GaP crystal. The functional is PBE.

Cell lengths 7.405, 7.405, 7.405 Å; angles 90.00, 90.00, 90.00 degrees
Space group Fm-3m (No. 225)
Asymmetric unit:
La 0.250 0.250 0.250 x8
Ga 0.000 0.000 0.000 x4
P 0.000 0.000 0.500 x4

Output
The value obtained for the size of the total moment is 0.000 μB per cell.

=====

## two
This record from Alexandria via LeMat-Bulk describes a relaxed La2GaP crystal. The functional is PBE.

Cell lengths 4.317, 24.733, 4.268 Å; angles 90.00, 90.00, 90.00 degrees
Space group Cmcm (No. 63)
Asymmetric unit:
La 0.000 0.071 0.250 x4
La 0.000 0.309 0.250 x4
Ga 0.000 0.468 0.250 x4
P 0.000 0.189 0.250 x4

Output
The value obtained for the size of the total moment is 0.000 μB per cell.

=====

## three
This record from Alexandria via LeMat-Bulk describes a relaxed La2GaP crystal. The functional is PBE.

Cell lengths 3.9636, 3.9636, 29.6066 Å; angles 90.00, 90.00, 120.00 degrees
Space group R-3m (No. 166, hexagonal axes)
Asymmetric unit:
La 0.0000 0.0000 0.1087 x6
Ga 0.0000 0.0000 0.0000 x3
P 0.0000 0.0000 0.5000 x3

Output
The value obtained for the size of the total moment is 0.001 μB per cell.

=====

Order from most stable to least stable according to the calculation: two, one, three

=====

## one
This record from Alexandria via LeMat-Bulk describes a relaxed LaGaP3 crystal. The functional is PBE.

Cell lengths 5.476, 5.476, 5.476 Å; angles 90.00, 90.00, 90.00 degrees
Space group Pm-3m (No. 221)
Asymmetric unit:
La 0.000 0.000 0.000 x1
Ga 0.500 0.500 0.500 x1
P 0.000 0.000 0.500 x3

Output
The value obtained for the size of the total moment is 0.000 μB per cell.

=====

## two
This record from Alexandria via LeMat-Bulk describes a relaxed LaGaP3 crystal. The functional is PBE.

Cell lengths 4.755, 4.755, 4.755 Å; angles 90.00, 90.00, 90.00 degrees
Space group Pm-3m (No. 221)
Asymmetric unit:
La 0.000 0.000 0.000 x1
Ga 0.500 0.500 0.500 x1
P 0.000 0.500 0.500 x3

Output
The value obtained for the size of the total moment is 0.000 μB per cell.

=====

Order from most stable to least stable according to the calculation: two, one

=====

## one
This record from Alexandria via LeMat-Bulk describes a relaxed LaGaPS2 crystal. The functional is PBE.

Cell lengths 4.799, 4.799, 4.685 Å; angles 90.00, 90.00, 90.00 degrees
Space group P4/mmm (No. 123)
Asymmetric unit:
La 0.000 0.000 0.000 x1
Ga 0.500 0.500 0.500 x1
P 0.500 0.500 0.000 x1
S 0.000 0.500 0.500 x2

Output
The value obtained for the size of the total moment is 0.000 μB per cell.

=====

## two
This record from Alexandria via LeMat-Bulk describes a relaxed LaGaPS2 crystal. The functional is PBE.

Cell lengths 5.528, 5.528, 5.812 Å; angles 90.00, 90.00, 90.00 degrees
Space group P4/mmm (No. 123)
Asymmetric unit:
La 0.000 0.000 0.000 x1
Ga 0.500 0.500 0.500 x1
P 0.000 0.000 0.500 x1
S 0.000 0.500 0.000 x2

Output
The value obtained for the size of the total moment is 2.445 μB per cell.

=====

Order from most stable to least stable according to the calculation: one, two